<1>
# Sc2VCo2

A relaxed Sc2VCo2 crystal (PBE-GGA, Alexandria via LeMat-Bulk).

Unit cell a=6.0827 b=6.0827 c=4.2583 alpha=90.00 beta=90.00 gamma=90.00
Space group P4/mbm (No. 127)
Symmetry-distinct sites (fractional):
Sc  0.1784  0.3216  0.0000 x4
V  0.0000  0.0000  0.5000 x2
Co  0.1343  0.6343  0.5000 x4

<2>
# Sc2VCo2

A relaxed Sc2VCo2 crystal (PBE-GGA, Alexandria via LeMat-Bulk).

Unit cell a=8.9619 b=5.2018 c=6.9968 alpha=90.00 beta=102.14 gamma=90.00
Space group C2/c (No. 15)
Symmetry-distinct sites (fractional):
Sc  0.1473  0.1315  0.1476 x8
V  0.0000  0.3831  0.7500 x4
Co  0.1361  0.3609  0.4993 x8

Energy ordering: <2> at the bottom, the next structure 68 meV/atom above.

<1>
# ScCoW2

A relaxed ScCoW2 crystal (PBE-GGA, Alexandria via LeMat-Bulk).

Unit cell a=5.2030 b=8.9742 c=2.7251 alpha=90.00 beta=90.00 gamma=90.00
Space group Cmmm (No. 65)
Symmetry-distinct sites (fractional):
Sc  0.0000  0.0000  0.0000 x2
Co  0.0000  0.5000  0.0000 x2
W  0.2500  0.2500  0.5000 x4

<2>
# ScCoW2

A relaxed ScCoW2 crystal (PBE-GGA, Alexandria via LeMat-Bulk).

Unit cell a=3.1490 b=4.3037 c=4.6615 alpha=90.00 beta=90.00 gamma=90.00
Space group Pmmm (No. 47)
Symmetry-distinct sites (fractional):
Sc  0.0000  0.0000  0.0000 x1
Co  0.5000  0.5000  0.0000 x1
W  0.0000  0.5000  0.5000 x1
W  0.5000  0.0000  0.5000 x1

Energy ordering: <2> at the bottom, the next structure 246 meV/atom above.

<1>
# ScCoW2

A relaxed ScCoW2 crystal (PBE-GGA, Alexandria via LeMat-Bulk).

Unit cell a=7.3593 b=7.3593 c=5.0195 alpha=90.00 beta=90.00 gamma=90.00
Space group I-42d (No. 122)
Symmetry-distinct sites (fractional):
Sc  0.0000  0.0000  0.0000 x4
Co  0.0000  0.0000  0.5000 x4
W  0.1986  0.7500  0.6250 x8

<2>
# ScCoW2

A relaxed ScCoW2 crystal (PBE-GGA, Alexandria via LeMat-Bulk).

Unit cell a=2.7713 b=4.6105 c=5.0332 alpha=90.00 beta=100.85 gamma=90.00
Space group P2/m (No. 10)
Symmetry-distinct sites (fractional):
Sc  0.0000  0.0000  0.0000 x1
Co  0.5000  0.0000  0.5000 x1
W  0.2754  0.5000  0.7480 x2

Energy ordering: <2> at the bottom, the next structure 342 meV/atom above.

<1>
# ScCoW2

A relaxed ScCoW2 crystal (PBE-GGA, Alexandria via LeMat-Bulk).

Unit cell a=2.7341 b=4.4979 c=5.2161 alpha=90.00 beta=90.00 gamma=90.00
Space group Pmmm (No. 47)
Symmetry-distinct sites (fractional):
Sc  0.0000  0.0000  0.0000 x1
Co  0.0000  0.0000  0.5000 x1
W  0.5000  0.5000  0.2521 x2

<2>
# ScCoW2

A relaxed ScCoW2 crystal (PBE-GGA, Alexandria via LeMat-Bulk).

Unit cell a=3.1647 b=3.1647 c=6.3406 alpha=90.00 beta=90.00 gamma=90.00
Space group P4mm (No. 99)
Symmetry-distinct sites (fractional):
Sc  0.0000  0.0000  0.0000 x1
Co  0.5000  0.5000  0.7438 x1
W  0.0000  0.0000  0.5156 x1
W  0.5000  0.5000  0.2852 x1

<3>
# ScCoW2

A relaxed ScCoW2 crystal (PBE-GGA, Alexandria via LeMat-Bulk).

Unit cell a=5.2701 b=9.1421 c=2.7589 alpha=90.00 beta=109.23 gamma=90.00
Space group C2/m (No. 12)
Symmetry-distinct sites (fractional):
Sc  0.0000  0.0000  0.0000 x2
Co  0.0000  0.5000  0.0000 x2
W  0.2500  0.2500  0.5000 x4

Energy ordering: <2> at the bottom, the next structure 142 meV/atom above.

<1>
# ScCoW2

A relaxed ScCoW2 crystal (PBE-GGA, Alexandria via LeMat-Bulk).

Unit cell a=3.2094 b=4.6200 c=8.5519 alpha=90.00 beta=90.00 gamma=90.00
Space group Imm2 (No. 44)
Symmetry-distinct sites (fractional):
Sc  0.0000  0.0000  0.0000 x2
Co  0.0000  0.5000  0.2479 x2
W  0.0000  0.0000  0.5142 x2
W  0.0000  0.5000  0.7740 x2

<2>
# ScCoW2

A relaxed ScCoW2 crystal (PBE-GGA, Alexandria via LeMat-Bulk).

Unit cell a=2.8739 b=2.8739 c=26.7795 alpha=90.00 beta=90.00 gamma=120.00
Space group R3m (No. 160, hexagonal axes)
Symmetry-distinct sites (fractional):
Sc  0.0000  0.0000  0.0000 x3
Co  0.0000  0.0000  0.7465 x3
W  0.0000  0.0000  0.2410 x3
W  0.0000  0.0000  0.4852 x3

Energy ordering: <1> at the bottom, the next structure 103 meV/atom above.

<1>
# Y2ScCo

A relaxed Y2ScCo crystal (PBE-GGA, Alexandria via LeMat-Bulk).

Unit cell a=7.1574 b=7.1574 c=7.1574 alpha=90.00 beta=90.00 gamma=90.00
Space group Fm-3m (No. 225)
Symmetry-distinct sites (fractional):
Y  0.2500  0.2500  0.2500 x8
Sc  0.0000  0.0000  0.0000 x4
Co  0.0000  0.0000  0.5000 x4

<2>
# Y2ScCo

A relaxed Y2ScCo crystal (PBE-GGA, Alexandria via LeMat-Bulk).

Unit cell a=3.4536 b=5.1949 c=10.5370 alpha=90.00 beta=90.00 gamma=90.00
Space group Imm2 (No. 44)
Symmetry-distinct sites (fractional):
Y  0.0000  0.0000  0.0000 x2
Y  0.0000  0.5000  0.1969 x2
Sc  0.0000  0.5000  0.8115 x2
Co  0.0000  0.0000  0.4899 x2

Energy ordering: <2> at the bottom, the next structure 303 meV/atom above.